The following is a PBE+U calculation of an optimized crystal structure of Li2FeF4, from Alexandria.

Lattice parameters (Å, degrees): 5.2153 6.0341 6.0477 64.70 87.41 87.40
Closest atoms and distances in Å follow each position.
Space group P1 (No. 1)
Unique sites:
Li (0.0000, 0.0000, 0.0000)  4 F 1.86-1.94
Li (0.0803, 0.7420, 0.7471)  5 F 1.89-2.11
Li (0.3739, 0.5579, 0.5624)  4 F 1.82-1.93
Li (0.5742, 0.8323, 0.8321)  5 F 1.90-2.13
Fe (0.4529, 0.1815, 0.1829)  5 F 2.00-2.12
Fe (0.8909, 0.3782, 0.3815)  5 F 2.00-2.14
F (0.0073, 0.5612, 0.5696)  2 Li 1.89-1.91, 1 Fe 2.02
F (0.3607, 0.9906, 0.9881)  2 Li 1.88-1.90, 1 Fe 2.05
F (0.3952, 0.8964, 0.5073)  3 Li 1.93-2.11, 1 Fe 2.00
F (0.3970, 0.5075, 0.8986)  3 Li 1.93-2.09, 1 Fe 2.00
F (0.4876, 0.3874, 0.3888)  1 Li 1.82
F (0.8570, 0.1705, 0.1724)  1 Li 1.86
F (0.8914, 0.0557, 0.6771)  3 Li 1.94-2.10, 1 Fe 2.00
F (0.8939, 0.6749, 0.0607)  3 Li 1.94-2.13, 1 Fe 2.00

## Properties
* magnetic moment: 8.00 Bohr magnetons per cell
* offset from the most stable computed form: 73 meV per atom